Dy2MnSiO6 | GGA+U | relaxed

a = 5.2133 Å, b = 5.2133 Å, c = 4.1136 Å
α = 90.00°, β = 90.00°, γ = 90.00°
Last column: nearest neighbours and their distance in Å.
Space group P4mm (No. 99)
Symmetry-distinct sites (fractional):
Dy: 0.0000 0.5000 0.0000 [2 per cell]  4 O 2.32
Mn: 0.0000 0.0000 0.5968 [1 per cell]  6 O 2.01-2.08
Si: 0.5000 0.5000 0.5664 [1 per cell]  5 O 1.66-1.74
O: 0.0000 0.0000 0.1036 [1 per cell]  2 Mn 2.03-2.08
O: 0.2704 0.2704 0.6612 [4 per cell]  1 Si 1.74
O: 0.5000 0.5000 0.1625 [1 per cell]  1 Si 1.66

Properties
Raw total energy (eV for the cell shown): -76.43
Total magnetic moment (μB per atom): 0.100
Crystal system: tetragonal
DOS at the Fermi energy (states/eV/atom): 0.266
Mass density (g/cm³): 7.49